# RbCd2BiPd, optimized geometry, DFT PBE
data_RbCd2BiPd
_chemical_formula_sum 'Rb1 Cd2 Bi1 Pd1'
_symmetry_space_group_name_H-M 'P 4/m m m'
_symmetry_Int_Tables_number 123
_symmetry_space_group_name_Hall '-P 4 2'
_cell_length_a 5.362
_cell_length_b 5.362
_cell_length_c 5.474
_cell_angle_alpha 90.00
_cell_angle_beta 90.00
_cell_angle_gamma 90.00
loop_
_atom_site_label
_atom_site_type_symbol
_atom_site_fract_x
_atom_site_fract_y
_atom_site_fract_z
Rb1 Rb 0.000 0.000 0.000
Cd1 Cd 0.000 0.500 0.500
Bi1 Bi 0.500 0.500 0.000
Pd1 Pd 0.500 0.500 0.500
# electronic total energy	-2.512	eV/atom
# energy of formation	-0.138	eV per atom
# magnetization	0.00	Bohr magnetons per cell